{
  "formula": "Dy2MgRh4",
  "functional": "PBE",
  "state": "relaxed",
  "cell": [[2.269, 1.310, 7.473], [-2.269, 1.310, 7.473], [0.000, -2.620, 7.473]],
  "species": ["Dy", "Dy", "Mg", "Rh", "Rh", "Rh", "Rh"],
  "fractional_positions": [[0.244, 0.244, 0.244], [0.756, 0.756, 0.756], [0.000, 0.000, 0.000], [0.122, 0.122, 0.122], [0.373, 0.373, 0.373], [0.627, 0.627, 0.627], [0.878, 0.878, 0.878]],
  "e_tot_ev_per_cell": -43.16,
  "ef_mev_per_atom": -422.8
}